[1]
Below is an optimized crystal structure of Na3Pr3PuO8, with properties calculated at the PBE level.

Calculated values
size of the total moment = 0.267 μB/atom

```
data_Na3Pr3PuO8
_chemical_formula_sum 'Na9 Pr9 Pu3 O24'
_cell_length_a 7.2191
_cell_length_b 7.2191
_cell_length_c 16.8479
_cell_angle_alpha 90.00
_cell_angle_beta 90.00
_cell_angle_gamma 120.00
_symmetry_space_group_name_H-M 'R -3 m'
_symmetry_Int_Tables_number 166
_symmetry_space_group_name_Hall '-R 3 2"'
loop_
_atom_site_label
_atom_site_fract_x
_atom_site_fract_y
_atom_site_fract_z
Na1 0.0000 0.5000 0.0000
Pr1 0.0000 0.5000 0.5000
Pu1 0.0000 0.0000 0.5000
O1 0.0000 0.0000 0.2385
O2 0.0244 0.5122 0.2342
```

[2]
Below is an optimized crystal structure of NaPr2PuO6, with properties calculated at the PBE level.

Calculated values
size of the total moment = 0.300 μB/atom

```
data_NaPr2PuO6
_chemical_formula_sum 'Na3 Pr6 Pu3 O18'
_cell_length_a 6.0183
_cell_length_b 6.0183
_cell_length_c 15.3850
_cell_angle_alpha 90.00
_cell_angle_beta 90.00
_cell_angle_gamma 120.00
_symmetry_space_group_name_H-M 'R 3'
_symmetry_Int_Tables_number 146
_symmetry_space_group_name_Hall 'R 3'
loop_
_atom_site_label
_atom_site_fract_x
_atom_site_fract_y
_atom_site_fract_z
Na1 0.0000 0.0000 0.0000
Pr1 0.0000 0.0000 0.2707
Pr2 0.0000 0.0000 0.7786
Pu1 0.0000 0.0000 0.4866
O1 0.0407 0.3360 0.5524
O2 0.0648 0.6700 0.0630
```

It is found that the E_form (uncorrected) values, taken in the order of the records, are -2.648, -2.877 eV per atom.
It is found that the Fermi-level density of states values, taken in the order of the records, are 0.366, 1.035 states/eV/atom.
It is found that the total energy values, taken in the order of the records, are -7.47, -8.37 eV/atom.